Run P
# Na2SnH | Alexandria | PBE-GGA | optimized geometry
data_Na2SnH
_cell_length_a 3.4090
_cell_length_b 3.4090
_cell_length_c 24.5105
_cell_angle_alpha 90.00
_cell_angle_beta 90.00
_cell_angle_gamma 120.00
_symmetry_space_group_name_H-M 'R -3 m'
_symmetry_Int_Tables_number 166
_symmetry_space_group_name_Hall '-R 3 2"'
loop_
_atom_site_label
_atom_site_type_symbol
_atom_site_fract_x
_atom_site_fract_y
_atom_site_fract_z
Na1 Na 0.0000 0.0000 0.2236
Sn1 Sn 0.0000 0.0000 0.0000
H1 H 0.0000 0.0000 0.5000
# - density of states at the Fermi level (states/eV per cell) = 4.76
# - crystal system = trigonal
# - magnetization (μB per cell) = 0.000

=====

Run Q
# Na2SnH | Alexandria | PBE-GGA | optimized geometry
data_Na2SnH
_cell_length_a 6.600
_cell_length_b 6.600
_cell_length_c 8.531
_cell_angle_alpha 90.00
_cell_angle_beta 90.00
_cell_angle_gamma 90.00
_symmetry_space_group_name_H-M 'I -4 2 d'
_symmetry_Int_Tables_number 122
_symmetry_space_group_name_Hall 'I -4 2bw'
loop_
_atom_site_label
_atom_site_type_symbol
_atom_site_fract_x
_atom_site_fract_y
_atom_site_fract_z
Na1 Na 0.104 0.750 0.125
Sn1 Sn 0.000 0.000 0.500
H1 H 0.000 0.000 0.000
# - density of states at the Fermi level (states/eV per cell) = 0.81
# - crystal system = tetragonal
# - magnetization (μB per cell) = 0.000

=====

Most stable: run P. Least stable: run Q.

=====

Run P
# Na2SnH | Alexandria | PBE-GGA | optimized geometry
data_Na2SnH
_cell_length_a 5.965
_cell_length_b 6.016
_cell_length_c 11.450
_cell_angle_alpha 90.00
_cell_angle_beta 119.36
_cell_angle_gamma 90.00
_symmetry_space_group_name_H-M 'P 1 21/c 1'
_symmetry_Int_Tables_number 14
loop_
_symmetry_equiv_pos_as_xyz
'x,y,z'
'-x,-y,-z'
'-x,y+1/2,-z+1/2'
'x,-y+1/2,z+1/2'
loop_
_atom_site_label
_atom_site_type_symbol
_atom_site_fract_x
_atom_site_fract_y
_atom_site_fract_z
Na1 Na 0.000 0.207 0.111
Na2 Na 0.306 0.218 0.429
Sn1 Sn 0.372 0.659 0.241
H1 H 0.317 0.608 0.065
# - density of states at the Fermi level (states/eV per cell) = 4.49
# - crystal system = monoclinic
# - magnetization (μB per cell) = 0.000

=====

Run Q
# Na2SnH | Alexandria | PBE-GGA | optimized geometry
data_Na2SnH
_cell_length_a 7.256
_cell_length_b 7.256
_cell_length_c 7.256
_cell_angle_alpha 90.00
_cell_angle_beta 90.00
_cell_angle_gamma 90.00
_symmetry_space_group_name_H-M 'F m -3 m'
_symmetry_Int_Tables_number 225
_symmetry_space_group_name_Hall '-F 4 2 3'
loop_
_atom_site_label
_atom_site_type_symbol
_atom_site_fract_x
_atom_site_fract_y
_atom_site_fract_z
Na1 Na 0.250 0.250 0.250
Sn1 Sn 0.000 0.000 0.000
H1 H 0.000 0.000 0.500
# - density of states at the Fermi level (states/eV per cell) = 14.19
# - crystal system = cubic
# - magnetization (μB per cell) = 0.000

=====

Most stable: run P. Least stable: run Q.

=====

Run P
# Na3SnH | Alexandria | PBE-GGA | optimized geometry
data_Na3SnH
_cell_length_a 4.802
_cell_length_b 4.802
_cell_length_c 4.802
_cell_angle_alpha 90.00
_cell_angle_beta 90.00
_cell_angle_gamma 90.00
_symmetry_space_group_name_H-M 'P m -3 m'
_symmetry_Int_Tables_number 221
_symmetry_space_group_name_Hall '-P 4 2 3'
loop_
_atom_site_label
_atom_site_type_symbol
_atom_site_fract_x
_atom_site_fract_y
_atom_site_fract_z
Na1 Na 0.000 0.000 0.500
Sn1 Sn 0.500 0.500 0.500
H1 H 0.000 0.000 0.000
# - density of states at the Fermi level (states/eV per cell) = 1.91
# - crystal system = cubic
# - magnetization (μB per cell) = 0.000

=====

Run Q
# Na3SnH | Alexandria | PBE-GGA | optimized geometry
data_Na3SnH
_cell_length_a 6.357
_cell_length_b 6.424
_cell_length_c 7.375
_cell_angle_alpha 115.53
_cell_angle_beta 112.16
_cell_angle_gamma 90.13
_symmetry_space_group_name_H-M 'P -1'
_symmetry_Int_Tables_number 2
loop_
_symmetry_equiv_pos_as_xyz
'x,y,z'
'-x,-y,-z'
loop_
_atom_site_label
_atom_site_type_symbol
_atom_site_fract_x
_atom_site_fract_y
_atom_site_fract_z
Na1 Na 0.014 0.106 0.237
Na2 Na 0.016 0.632 0.238
Na3 Na 0.481 0.342 0.184
Sn1 Sn 0.417 0.084 0.667
H1 H 0.095 0.281 0.061
# - density of states at the Fermi level (states/eV per cell) = 2.35
# - crystal system = triclinic
# - magnetization (μB per cell) = 0.000

=====

Most stable: run Q. Least stable: run P.

=====

Run P
# NaSnH2 | Alexandria | PBE-GGA | optimized geometry
data_NaSnH2
_cell_length_a 4.713
_cell_length_b 4.713
_cell_length_c 12.060
_cell_angle_alpha 90.00
_cell_angle_beta 90.00
_cell_angle_gamma 90.00
_symmetry_space_group_name_H-M 'I -4 2 d'
_symmetry_Int_Tables_number 122
_symmetry_space_group_name_Hall 'I -4 2bw'
loop_
_atom_site_label
_atom_site_type_symbol
_atom_site_fract_x
_atom_site_fract_y
_atom_site_fract_z
Na1 Na 0.000 0.000 0.000
Sn1 Sn 0.000 0.000 0.500
H1 H 0.182 0.250 0.625
# - density of states at the Fermi level (states/eV per cell) = 3.79
# - crystal system = tetragonal
# - magnetization (μB per cell) = 0.000

=====

Run Q
# NaSnH2 | Alexandria | PBE-GGA | optimized geometry
data_NaSnH2
_cell_length_a 6.129
_cell_length_b 6.129
_cell_length_c 6.129
_cell_angle_alpha 90.00
_cell_angle_beta 90.00
_cell_angle_gamma 90.00
_symmetry_space_group_name_H-M 'F m -3 m'
_symmetry_Int_Tables_number 225
_symmetry_space_group_name_Hall '-F 4 2 3'
loop_
_atom_site_label
_atom_site_type_symbol
_atom_site_fract_x
_atom_site_fract_y
_atom_site_fract_z
Na1 Na 0.000 0.000 0.000
Sn1 Sn 0.000 0.000 0.500
H1 H 0.250 0.250 0.250
# - density of states at the Fermi level (states/eV per cell) = 5.11
# - crystal system = cubic
# - magnetization (μB per cell) = 0.000

=====

Most stable: run P. Least stable: run Q.

=====

Run P
# NaTl2SnH | Alexandria | PBE-GGA | optimized geometry
data_NaTl2SnH
_cell_length_a 5.555
_cell_length_b 5.555
_cell_length_c 3.984
_cell_angle_alpha 90.00
_cell_angle_beta 90.00
_cell_angle_gamma 90.00
_symmetry_space_group_name_H-M 'P 4/m m m'
_symmetry_Int_Tables_number 123
_symmetry_space_group_name_Hall '-P 4 2'
loop_
_atom_site_label
_atom_site_type_symbol
_atom_site_fract_x
_atom_site_fract_y
_atom_site_fract_z
Na1 Na 0.000 0.000 0.000
Tl1 Tl 0.000 0.500 0.500
Sn1 Sn 0.500 0.500 0.000
H1 H 0.500 0.500 0.500
# - density of states at the Fermi level (states/eV per cell) = 1.50
# - crystal system = tetragonal
# - magnetization (μB per cell) = 0.000

=====

Run Q
# NaTl2SnH | Alexandria | PBE-GGA | optimized geometry
data_NaTl2SnH
_cell_length_a 5.286
_cell_length_b 5.286
_cell_length_c 4.236
_cell_angle_alpha 90.00
_cell_angle_beta 90.00
_cell_angle_gamma 90.00
_symmetry_space_group_name_H-M 'P 4/m m m'
_symmetry_Int_Tables_number 123
_symmetry_space_group_name_Hall '-P 4 2'
loop_
_atom_site_label
_atom_site_type_symbol
_atom_site_fract_x
_atom_site_fract_y
_atom_site_fract_z
Na1 Na 0.000 0.000 0.000
Tl1 Tl 0.000 0.500 0.500
Sn1 Sn 0.500 0.500 0.000
H1 H 0.000 0.000 0.500
# - density of states at the Fermi level (states/eV per cell) = 0.64
# - crystal system = tetragonal
# - magnetization (μB per cell) = 0.000

=====

Most stable: run Q. Least stable: run P.

=====

Run P
# NaSr2H | Alexandria | PBE-GGA | optimized geometry
data_NaSr2H
_cell_length_a 7.793
_cell_length_b 7.793
_cell_length_c 9.590
_cell_angle_alpha 90.00
_cell_angle_beta 90.00
_cell_angle_gamma 90.00
_symmetry_space_group_name_H-M 'I -4 2 d'
_symmetry_Int_Tables_number 122
_symmetry_space_group_name_Hall 'I -4 2bw'
loop_
_atom_site_label
_atom_site_type_symbol
_atom_site_fract_x
_atom_site_fract_y
_atom_site_fract_z
Na1 Na 0.000 0.000 0.000
Sr1 Sr 0.121 0.250 0.625
H1 H 0.000 0.000 0.500
# - density of states at the Fermi level (states/eV per cell) = 12.58
# - crystal system = tetragonal
# - magnetization (μB per cell) = 0.000

=====

Run Q
# NaSr2H | Alexandria | PBE-GGA | optimized geometry
data_NaSr2H
_cell_length_a 15.792
_cell_length_b 4.310
_cell_length_c 8.761
_cell_angle_alpha 90.00
_cell_angle_beta 105.81
_cell_angle_gamma 90.00
_symmetry_space_group_name_H-M 'C 1 2/m 1'
_symmetry_Int_Tables_number 12
loop_
_symmetry_equiv_pos_as_xyz
'x,y,z'
'-x,-y,-z'
'-x,y,-z'
'x,-y,z'
'x+1/2,y+1/2,z'
'-x+1/2,-y+1/2,-z'
'-x+1/2,y+1/2,-z'
'x+1/2,-y+1/2,z'
loop_
_atom_site_label
_atom_site_type_symbol
_atom_site_fract_x
_atom_site_fract_y
_atom_site_fract_z
Na1 Na 0.154 0.000 0.055
Sr1 Sr 0.020 0.500 0.286
Sr2 Sr 0.177 0.000 0.628
H1 H 0.097 0.500 0.574
# - density of states at the Fermi level (states/eV per cell) = 9.08
# - crystal system = monoclinic
# - magnetization (μB per cell) = 0.996

=====

Most stable: run Q. Least stable: run P.